w) DFT (GGA-PBE) results for a relaxed Tb3PrOs crystal.

CIF file:
```
data_Tb3PrOs
_cell_length_a 8.697
_cell_length_b 5.115
_cell_length_c 13.208
_cell_angle_alpha 90.00
_cell_angle_beta 90.00
_cell_angle_gamma 90.00
_symmetry_space_group_name_H-M 'P n m a'
_symmetry_Int_Tables_number 62
_symmetry_space_group_name_Hall '-P 2ac 2n'
loop_
_atom_site_label
_atom_site_type_symbol
_atom_site_fract_x
_atom_site_fract_y
_atom_site_fract_z
Tb1 Tb 0.060 0.250 0.223
Tb2 Tb 0.085 0.750 0.553
Tb3 Tb 0.216 0.250 0.825
Pr1 Pr 0.145 0.750 0.038
Os1 Os 0.037 0.250 0.652
```

Calculated values
For the density, the calculation gives 9133 kg/m3.



x) DFT (GGA-PBE) results for a relaxed Tb3PrOs crystal.

CIF file:
```
data_Tb3PrOs
_cell_length_a 5.476
_cell_length_b 5.476
_cell_length_c 5.476
_cell_angle_alpha 90.00
_cell_angle_beta 90.00
_cell_angle_gamma 90.00
_symmetry_space_group_name_H-M 'P m -3 m'
_symmetry_Int_Tables_number 221
_symmetry_space_group_name_Hall '-P 4 2 3'
loop_
_atom_site_label
_atom_site_type_symbol
_atom_site_fract_x
_atom_site_fract_y
_atom_site_fract_z
Tb1 Tb 0.000 0.000 0.500
Pr1 Pr 0.500 0.500 0.500
Os1 Os 0.000 0.000 0.000
```

Calculated values
For the density, the calculation gives 8171 kg/m3.



Going by the energies, w) is most stable and the next is 7.7 kJ/mol of atoms up.



w) DFT (GGA-PBE) results for a relaxed Pr5Tl2Os crystal.

CIF file:
```
data_Pr5Tl2Os
_cell_length_a 8.197
_cell_length_b 12.592
_cell_length_c 4.820
_cell_angle_alpha 90.00
_cell_angle_beta 90.00
_cell_angle_gamma 90.00
_symmetry_space_group_name_H-M 'P b a m'
_symmetry_Int_Tables_number 55
_symmetry_space_group_name_Hall '-P 2 2ab'
loop_
_atom_site_label
_atom_site_type_symbol
_atom_site_fract_x
_atom_site_fract_y
_atom_site_fract_z
Pr1 Pr 0.000 0.000 0.000
Pr2 Pr 0.141 0.299 0.000
Pr3 Pr 0.183 0.568 0.500
Tl1 Tl 0.073 0.830 0.500
Os1 Os 0.000 0.500 0.000
```

Calculated values
For the density, the calculation gives 8701 kg/m3.



x) DFT (GGA-PBE) results for a relaxed Pr5Tl2Os crystal.

CIF file:
```
data_Pr5Tl2Os
_cell_length_a 5.788
_cell_length_b 17.053
_cell_length_c 12.717
_cell_angle_alpha 90.00
_cell_angle_beta 90.00
_cell_angle_gamma 90.00
_symmetry_space_group_name_H-M 'C m c m'
_symmetry_Int_Tables_number 63
_symmetry_space_group_name_Hall '-C 2c 2'
loop_
_atom_site_label
_atom_site_type_symbol
_atom_site_fract_x
_atom_site_fract_y
_atom_site_fract_z
Pr1 Pr 0.000 0.066 0.102
Pr2 Pr 0.000 0.293 0.078
Pr3 Pr 0.000 0.303 0.750
Tl1 Tl 0.000 0.127 0.632
Os1 Os 0.000 0.183 0.250
```

Calculated values
For the density, the calculation gives 6898 kg/m3.



Going by the energies, w) is most stable and the next is 32.8 kJ/mol of atoms up.



w) DFT (GGA-PBE) results for a relaxed PrTmOs crystal.

CIF file:
```
data_PrTmOs
_cell_length_a 3.434
_cell_length_b 3.434
_cell_length_c 13.443
_cell_angle_alpha 90.00
_cell_angle_beta 90.00
_cell_angle_gamma 90.00
_symmetry_space_group_name_H-M 'I 4 m m'
_symmetry_Int_Tables_number 107
_symmetry_space_group_name_Hall 'I 4 -2'
loop_
_atom_site_label
_atom_site_type_symbol
_atom_site_fract_x
_atom_site_fract_y
_atom_site_fract_z
Pr1 Pr 0.000 0.000 0.000
Tm1 Tm 0.000 0.000 0.250
Os1 Os 0.000 0.000 0.634
```

Calculated values
For the density, the calculation gives 10478 kg/m3.



x) DFT (GGA-PBE) results for a relaxed PrTmOs crystal.

CIF file:
```
data_PrTmOs
_cell_length_a 6.851
_cell_length_b 6.851
_cell_length_c 6.851
_cell_angle_alpha 90.00
_cell_angle_beta 90.00
_cell_angle_gamma 90.00
_symmetry_space_group_name_H-M 'F -4 3 m'
_symmetry_Int_Tables_number 216
_symmetry_space_group_name_Hall 'F -4 2 3'
loop_
_atom_site_label
_atom_site_type_symbol
_atom_site_fract_x
_atom_site_fract_y
_atom_site_fract_z
Pr1 Pr 0.000 0.000 0.000
Tm1 Tm 0.000 0.000 0.500
Os1 Os 0.250 0.250 0.250
```

Calculated values
For the density, the calculation gives 10329 kg/m3.



Going by the energies, w) is most stable and the next is 2.3 kJ/mol of atoms up.



w) DFT (GGA-PBE) results for a relaxed PrYOs crystal.

CIF file:
```
data_PrYOs
_cell_length_a 6.901
_cell_length_b 6.901
_cell_length_c 6.901
_cell_angle_alpha 90.00
_cell_angle_beta 90.00
_cell_angle_gamma 90.00
_symmetry_space_group_name_H-M 'F -4 3 m'
_symmetry_Int_Tables_number 216
_symmetry_space_group_name_Hall 'F -4 2 3'
loop_
_atom_site_label
_atom_site_type_symbol
_atom_site_fract_x
_atom_site_fract_y
_atom_site_fract_z
Pr1 Pr 0.000 0.000 0.000
Y1 Y 0.000 0.000 0.500
Os1 Os 0.250 0.250 0.750
```

Calculated values
For the density, the calculation gives 8488 kg/m3.



x) DFT (GGA-PBE) results for a relaxed PrYOs crystal.

CIF file:
```
data_PrYOs
_cell_length_a 3.461
_cell_length_b 3.461
_cell_length_c 13.624
_cell_angle_alpha 90.00
_cell_angle_beta 90.00
_cell_angle_gamma 90.00
_symmetry_space_group_name_H-M 'I 4 m m'
_symmetry_Int_Tables_number 107
_symmetry_space_group_name_Hall 'I 4 -2'
loop_
_atom_site_label
_atom_site_type_symbol
_atom_site_fract_x
_atom_site_fract_y
_atom_site_fract_z
Pr1 Pr 0.000 0.000 0.000
Y1 Y 0.000 0.000 0.751
Os1 Os 0.000 0.000 0.370
```

Calculated values
For the density, the calculation gives 8548 kg/m3.



Going by the energies, x) is most stable and the next is 0.9 kJ/mol of atoms up.



w) DFT (GGA-PBE) results for a relaxed Pr8Zn2Os crystal.

CIF file:
```
data_Pr8Zn2Os
_cell_length_a 5.035
_cell_length_b 8.739
_cell_length_c 14.644
_cell_angle_alpha 90.00
_cell_angle_beta 90.00
_cell_angle_gamma 90.00
_symmetry_space_group_name_H-M 'I m m m'
_symmetry_Int_Tables_number 71
_symmetry_space_group_name_Hall '-I 2 2'
loop_
_atom_site_label
_atom_site_type_symbol
_atom_site_fract_x
_atom_site_fract_y
_atom_site_fract_z
Pr1 Pr 0.000 0.000 0.121
Pr2 Pr 0.000 0.230 0.345
Pr3 Pr 0.000 0.334 0.000
Zn1 Zn 0.000 0.500 0.196
Os1 Os 0.000 0.500 0.500
```

Calculated values
For the density, the calculation gives 7464 kg/m3.



x) DFT (GGA-PBE) results for a relaxed Pr8Zn2Os crystal.

CIF file:
```
data_Pr8Zn2Os
_cell_length_a 18.280
_cell_length_b 5.252
_cell_length_c 7.004
_cell_angle_alpha 90.00
_cell_angle_beta 102.06
_cell_angle_gamma 90.00
_symmetry_space_group_name_H-M 'C 1 2/m 1'
_symmetry_Int_Tables_number 12
_symmetry_space_group_name_Hall '-C 2y'
loop_
_atom_site_label
_atom_site_type_symbol
_atom_site_fract_x
_atom_site_fract_y
_atom_site_fract_z
Pr1 Pr 0.028 0.000 0.287
Pr2 Pr 0.089 0.500 0.932
Pr3 Pr 0.157 0.500 0.458
Pr4 Pr 0.201 0.000 0.814
Zn1 Zn 0.192 0.000 0.235
Os1 Os 0.000 0.500 0.500
```

Calculated values
For the density, the calculation gives 7315 kg/m3.



Going by the energies, x) is most stable and the next is 10.3 kJ/mol of atoms up.



w) DFT (GGA-PBE) results for a relaxed Pr4ZnOs crystal.

CIF file:
```
data_Pr4ZnOs
_cell_length_a 14.010
_cell_length_b 14.010
_cell_length_c 14.010
_cell_angle_alpha 90.00
_cell_angle_beta 90.00
_cell_angle_gamma 90.00
_symmetry_space_group_name_H-M 'F -4 3 m'
_symmetry_Int_Tables_number 216
_symmetry_space_group_name_Hall 'F -4 2 3'
loop_
_atom_site_label
_atom_site_type_symbol
_atom_site_fract_x
_atom_site_fract_y
_atom_site_fract_z
Pr1 Pr 0.000 0.000 0.191
Pr2 Pr 0.056 0.250 0.250
Pr3 Pr 0.098 0.098 0.598
Zn1 Zn 0.174 0.174 0.826
Os1 Os 0.112 0.112 0.388
```

Calculated values
For the density, the calculation gives 7915 kg/m3.



x) DFT (GGA-PBE) results for a relaxed Pr4ZnOs crystal.

CIF file:
```
data_Pr4ZnOs
_cell_length_a 9.009
_cell_length_b 13.779
_cell_length_c 6.299
_cell_angle_alpha 90.00
_cell_angle_beta 115.89
_cell_angle_gamma 90.00
_symmetry_space_group_name_H-M 'C 1 2/c 1'
_symmetry_Int_Tables_number 15
_symmetry_space_group_name_Hall '-C 2yc'
loop_
_atom_site_label
_atom_site_type_symbol
_atom_site_fract_x
_atom_site_fract_y
_atom_site_fract_z
Pr1 Pr 0.116 0.178 0.075
Pr2 Pr 0.215 0.430 0.327
Zn1 Zn 0.000 0.376 0.750
Os1 Os 0.000 0.000 0.250
```

Calculated values
For the density, the calculation gives 7735 kg/m3.



Going by the energies, w) is most stable and the next is 1.5 kJ/mol of atoms up.



w) DFT (GGA-PBE) results for a relaxed Os2Pt crystal.

CIF file:
```
data_Os2Pt
_cell_length_a 2.7506
_cell_length_b 2.7506
_cell_length_c 6.7718
_cell_angle_alpha 90.00
_cell_angle_beta 90.00
_cell_angle_gamma 120.00
_symmetry_space_group_name_H-M 'P -3 m 1'
_symmetry_Int_Tables_number 164
_symmetry_space_group_name_Hall '-P 3 2"'
loop_
_atom_site_label
_atom_site_type_symbol
_atom_site_fract_x
_atom_site_fract_y
_atom_site_fract_z
Os1 Os 0.3333 0.6667 0.1540
Pt1 Pt 0.0000 0.0000 0.5000
```

Calculated values
For the density, the calculation gives 21540 kg/m3.



x) DFT (GGA-PBE) results for a relaxed Os2Pt crystal.

CIF file:
```
data_Os2Pt
_cell_length_a 2.713
_cell_length_b 4.112
_cell_length_c 17.440
_cell_angle_alpha 90.00
_cell_angle_beta 90.00
_cell_angle_gamma 90.00
_symmetry_space_group_name_H-M 'I m m a'
_symmetry_Int_Tables_number 74
_symmetry_space_group_name_Hall '-I 2b 2'
loop_
_atom_site_label
_atom_site_type_symbol
_atom_site_fract_x
_atom_site_fract_y
_atom_site_fract_z
Os1 Os 0.000 0.250 0.039
Os2 Os 0.000 0.250 0.189
Pt1 Pt 0.000 0.250 0.625
```

Calculated values
For the density, the calculation gives 19646 kg/m3.



y) DFT (GGA-PBE) results for a relaxed Os2Pt crystal.

CIF file:
```
data_Os2Pt
_cell_length_a 2.769
_cell_length_b 14.366
_cell_length_c 4.436
_cell_angle_alpha 90.00
_cell_angle_beta 90.00
_cell_angle_gamma 90.00
_symmetry_space_group_name_H-M 'C m c m'
_symmetry_Int_Tables_number 63
_symmetry_space_group_name_Hall '-C 2c 2'
loop_
_atom_site_label
_atom_site_type_symbol
_atom_site_fract_x
_atom_site_fract_y
_atom_site_fract_z
Os1 Os 0.000 0.058 0.250
Os2 Os 0.000 0.282 0.750
Pt1 Pt 0.000 0.389 0.250
```

Calculated values
For the density, the calculation gives 21664 kg/m3.



z) DFT (GGA-PBE) results for a relaxed Os2Pt crystal.

CIF file:
```
data_Os2Pt
_cell_length_a 4.3854
_cell_length_b 4.3854
_cell_length_c 5.4154
_cell_angle_alpha 90.00
_cell_angle_beta 90.00
_cell_angle_gamma 120.00
_symmetry_space_group_name_H-M 'P 63/m m c'
_symmetry_Int_Tables_number 194
_symmetry_space_group_name_Hall '-P 6c 2c'
loop_
_atom_site_label
_atom_site_type_symbol
_atom_site_fract_x
_atom_site_fract_y
_atom_site_fract_z
Os1 Os 0.0000 0.0000 0.0000
Os2 Os 0.3333 0.6667 0.2500
Pt1 Pt 0.3333 0.6667 0.7500
```

Calculated values
For the density, the calculation gives 21193 kg/m3.



Going by the energies, w) is most stable and the next is 6.0 kJ/mol of atoms up.



w) DFT (GGA-PBE) results for a relaxed Os2Pt crystal.

CIF file:
```
data_Os2Pt
_cell_length_a 5.483
_cell_length_b 3.874
_cell_length_c 8.327
_cell_angle_alpha 90.00
_cell_angle_beta 90.00
_cell_angle_gamma 90.00
_symmetry_space_group_name_H-M 'P n m a'
_symmetry_Int_Tables_number 62
_symmetry_space_group_name_Hall '-P 2ac 2n'
loop_
_atom_site_label
_atom_site_type_symbol
_atom_site_fract_x
_atom_site_fract_y
_atom_site_fract_z
Os1 Os 0.116 0.250 0.080
Os2 Os 0.123 0.250 0.762
Pt1 Pt 0.123 0.250 0.410
```

Calculated values
For the density, the calculation gives 21615 kg/m3.



x) DFT (GGA-PBE) results for a relaxed Os2Pt crystal.

CIF file:
```
data_Os2Pt
_cell_length_a 7.5146
_cell_length_b 7.5146
_cell_length_c 2.7194
_cell_angle_alpha 90.00
_cell_angle_beta 90.00
_cell_angle_gamma 120.00
_symmetry_space_group_name_H-M 'P -6 2 m'
_symmetry_Int_Tables_number 189
_symmetry_space_group_name_Hall 'P -6 -2'
loop_
_atom_site_label
_atom_site_type_symbol
_atom_site_fract_x
_atom_site_fract_y
_atom_site_fract_z
Os1 Os 0.0000 0.3067 0.0000
Os2 Os 0.0000 0.6452 0.5000
Pt1 Pt 0.0000 0.0000 0.5000
Pt2 Pt 0.3333 0.6667 0.0000
```

Calculated values
For the density, the calculation gives 21559 kg/m3.



y) DFT (GGA-PBE) results for a relaxed Os2Pt crystal.

CIF file:
```
data_Os2Pt
_cell_length_a 3.5942
_cell_length_b 3.5942
_cell_length_c 4.7516
_cell_angle_alpha 90.00
_cell_angle_beta 90.00
_cell_angle_gamma 120.00
_symmetry_space_group_name_H-M 'P -3 m 1'
_symmetry_Int_Tables_number 164
_symmetry_space_group_name_Hall '-P 3 2"'
loop_
_atom_site_label
_atom_site_type_symbol
_atom_site_fract_x
_atom_site_fract_y
_atom_site_fract_z
Os1 Os 0.3333 0.6667 0.3741
Pt1 Pt 0.0000 0.0000 0.0000
```

Calculated values
For the density, the calculation gives 17979 kg/m3.



z) DFT (GGA-PBE) results for a relaxed Os2Pt crystal.

CIF file:
```
data_Os2Pt
_cell_length_a 2.742
_cell_length_b 2.742
_cell_length_c 11.803
_cell_angle_alpha 90.00
_cell_angle_beta 90.00
_cell_angle_gamma 90.00
_symmetry_space_group_name_H-M 'I 4/m m m'
_symmetry_Int_Tables_number 139
_symmetry_space_group_name_Hall '-I 4 2'
loop_
_atom_site_label
_atom_site_type_symbol
_atom_site_fract_x
_atom_site_fract_y
_atom_site_fract_z
Os1 Os 0.000 0.000 0.175
Pt1 Pt 0.000 0.000 0.500
```

Calculated values
For the density, the calculation gives 21543 kg/m3.



Going by the energies, z) is most stable and the next is 6.0 kJ/mol of atoms up.



w) DFT (GGA-PBE) results for a relaxed Os2Pt crystal.

CIF file:
```
data_Os2Pt
_cell_length_a 2.755
_cell_length_b 3.845
_cell_length_c 8.359
_cell_angle_alpha 90.00
_cell_angle_beta 90.00
_cell_angle_gamma 90.00
_symmetry_space_group_name_H-M 'I m m m'
_symmetry_Int_Tables_number 71
_symmetry_space_group_name_Hall '-I 2 2'
loop_
_atom_site_label
_atom_site_type_symbol
_atom_site_fract_x
_atom_site_fract_y
_atom_site_fract_z
Os1 Os 0.000 0.000 0.177
Pt1 Pt 0.000 0.000 0.500
```

Calculated values
For the density, the calculation gives 21584 kg/m3.



x) DFT (GGA-PBE) results for a relaxed Os2Pt crystal.

CIF file:
```
data_Os2Pt
_cell_length_a 10.079
_cell_length_b 2.778
_cell_length_c 6.516
_cell_angle_alpha 90.00
_cell_angle_beta 104.46
_cell_angle_gamma 90.00
_symmetry_space_group_name_H-M 'C 1 m 1'
_symmetry_Int_Tables_number 8
_symmetry_space_group_name_Hall 'C -2y'
loop_
_atom_site_label
_atom_site_type_symbol
_atom_site_fract_x
_atom_site_fract_y
_atom_site_fract_z
Os1 Os 0.000 0.000 0.000
Os2 Os 0.054 0.000 0.614
Os3 Os 0.160 0.500 0.343
Os4 Os 0.335 0.000 0.665
Pt1 Pt 0.218 0.500 0.940
Pt2 Pt 0.389 0.000 0.283
```

Calculated values
For the density, the calculation gives 21640 kg/m3.



y) DFT (GGA-PBE) results for a relaxed Os2Pt crystal.

CIF file:
```
data_Os2Pt
_cell_length_a 4.528
_cell_length_b 4.528
_cell_length_c 2.652
_cell_angle_alpha 90.00
_cell_angle_beta 90.00
_cell_angle_gamma 90.00
_symmetry_space_group_name_H-M 'P 4/m m m'
_symmetry_Int_Tables_number 123
_symmetry_space_group_name_Hall '-P 4 2'
loop_
_atom_site_label
_atom_site_type_symbol
_atom_site_fract_x
_atom_site_fract_y
_atom_site_fract_z
Os1 Os 0.000 0.500 0.000
Pt1 Pt 0.000 0.000 0.500
```

Calculated values
For the density, the calculation gives 17575 kg/m3.



Going by the energies, w) is most stable and the next is 5.2 kJ/mol of atoms up.